Crystalline Sb6RuAu at its relaxed geometry, computed with PBE.

Volume   27.36 Å³/atom
SG   C2/m (12)
M_tot   0.0 μB/f.u.
Raw total energy   -76.46 eV/cell

Lattice parameters (Å, degrees): 8.248 8.248 9.561 124.88 124.88 70.51
Atoms (fractional coordinates):
Sb (0.143, 0.836, 0.645)
Sb (0.164, 0.857, 0.355)
Sb (0.191, 0.504, 0.836)
Sb (0.329, 0.329, 0.483)
Sb (0.359, 0.359, 0.207)
Sb (0.496, 0.809, 0.164)
Sb (0.504, 0.191, 0.836)
Sb (0.641, 0.641, 0.793)
Sb (0.671, 0.671, 0.517)
Sb (0.809, 0.496, 0.164)
Sb (0.836, 0.143, 0.645)
Sb (0.857, 0.164, 0.355)
Ru (0.000, 0.500, 0.500)
Ru (0.500, 0.000, 0.500)
Au (0.000, 0.500, 0.000)
Au (0.500, 0.000, 0.000)

=====

Crystalline ZnCu2SnS4 at its relaxed geometry, computed with PBE.

Volume   20.41 Å³/atom
SG   Pmn2_1 (31)
M_tot   0.0 μB/f.u.
Raw total energy   -67.18 eV/cell

Lattice parameters (Å, degrees): 7.686 6.683 6.358 90.00 90.00 90.00
Atoms (fractional coordinates):
Zn (0.000, 0.165, 0.000)
Zn (0.500, 0.835, 0.500)
Cu (0.249, 0.669, 0.996)
Cu (0.251, 0.331, 0.496)
Cu (0.749, 0.331, 0.496)
Cu (0.751, 0.669, 0.996)
Sn (0.000, 0.836, 0.500)
Sn (0.500, 0.164, 0.000)
S (0.000, 0.184, 0.627)
S (0.000, 0.828, 0.111)
S (0.243, 0.345, 0.133)
S (0.257, 0.655, 0.633)
S (0.500, 0.172, 0.611)
S (0.500, 0.816, 0.127)
S (0.743, 0.655, 0.633)
S (0.757, 0.345, 0.133)

=====

Crystalline Nd4Sm3Ho3 at its relaxed geometry, computed with PBE.

Energy of formation   0.096 eV per atom
Volume   34.02 Å³/atom
SG   Amm2 (38)
M_tot   0.0 μB/f.u.

Lattice parameters (Å, degrees): 3.836 9.416 9.416 90.20 90.00 90.00
Atoms (fractional coordinates):
Nd (0.000, 0.000, 0.000)
Nd (0.000, 0.258, 0.258)
Nd (0.000, 0.500, 0.761)
Nd (0.000, 0.761, 0.500)
Sm (0.000, 0.126, 0.631)
Sm (0.000, 0.631, 0.126)
Sm (0.500, 0.461, 0.461)
Ho (0.500, 0.298, 0.960)
Ho (0.500, 0.799, 0.799)
Ho (0.500, 0.960, 0.298)

=====

Crystalline La3Pt5 at its relaxed geometry, computed with PBE.

Energy of formation   -0.909 eV per atom
Volume   23.33 Å³/atom
SG   P6_3/mcm (193)
M_tot   0.0 μB/f.u.

Lattice parameters (Å, degrees): 9.154 9.154 5.144 90.00 90.00 120.00
Atoms (fractional coordinates):
La (0.000, 0.365, 0.250)
La (0.000, 0.635, 0.750)
La (0.365, 0.000, 0.250)
La (0.365, 0.365, 0.750)
La (0.635, 0.000, 0.750)
La (0.635, 0.635, 0.250)
Pt (0.000, 0.180, 0.750)
Pt (0.000, 0.820, 0.250)
Pt (0.180, 0.000, 0.750)
Pt (0.180, 0.180, 0.250)
Pt (0.333, 0.667, 0.000)
Pt (0.333, 0.667, 0.500)
Pt (0.667, 0.333, 0.000)
Pt (0.667, 0.333, 0.500)
Pt (0.820, 0.000, 0.250)
Pt (0.820, 0.820, 0.750)

=====

Crystalline Tl2ZnRh at its relaxed geometry, computed with PBE.

Energy of formation   0.318 eV per atom
Volume   20.65 Å³/atom
SG   F-43m (216)
M_tot   0.0 μB/f.u.

Lattice parameters (Å, degrees): 4.888 4.888 4.888 60.00 60.00 60.00
Atoms (fractional coordinates):
Tl (0.000, 0.000, 0.000)
Tl (0.250, 0.250, 0.250)
Zn (0.750, 0.750, 0.750)
Rh (0.500, 0.500, 0.500)

=====

Crystalline YSiTe2 at its relaxed geometry, computed with PBE.

Volume   31.42 Å³/atom
SG   Imm2 (44)
M_tot   0.0 μB/f.u.
Raw total energy   -20.47 eV/cell

Lattice parameters (Å, degrees): 8.594 8.594 8.594 153.57 153.54 37.75
Atoms (fractional coordinates):
Y (0.000, 0.000, 0.000)
Si (0.638, 0.138, 0.500)
Te (0.174, 0.674, 0.500)
Te (0.420, 0.420, 0.000)

=====

Crystalline K5Ce2H2S6O25 at its relaxed geometry, computed with PBE.

Volume   14.61 Å³/atom
SG   Cc (9)
M_tot   1.0 μB/f.u.
Raw total energy   -498.92 eV/cell

Lattice parameters (Å, degrees): 9.634 9.634 19.700 109.82 109.82 43.35
Atoms (fractional coordinates):
K (0.054, 0.946, 0.500)
K (0.146, 0.416, 0.460)
K (0.327, 0.542, 0.146)
K (0.416, 0.146, 0.960)
K (0.470, 0.661, 0.829)
K (0.542, 0.327, 0.646)
K (0.588, 0.849, 0.537)
K (0.661, 0.470, 0.329)
K (0.849, 0.588, 0.037)
K (0.946, 0.054, 0.000)
Ce (0.080, 0.221, 0.735)
Ce (0.221, 0.080, 0.235)
Ce (0.776, 0.929, 0.264)
Ce (0.929, 0.776, 0.764)
H (0.363, 0.534, 0.977)
H (0.454, 0.603, 0.043)
H (0.534, 0.363, 0.477)
H (0.603, 0.454, 0.543)
S (0.028, 0.836, 0.644)
S (0.109, 0.332, 0.608)
S (0.154, 0.985, 0.354)
S (0.283, 0.444, 0.328)
S (0.332, 0.109, 0.108)
S (0.444, 0.283, 0.828)
S (0.562, 0.717, 0.672)
S (0.665, 0.895, 0.390)
S (0.717, 0.562, 0.172)
S (0.836, 0.028, 0.144)
S (0.895, 0.665, 0.890)
S (0.985, 0.154, 0.854)
O (0.021, 0.991, 0.154)
O (0.026, 0.967, 0.844)
O (0.064, 0.535, 0.944)
O (0.071, 0.448, 0.685)
O (0.086, 0.181, 0.348)
O (0.096, 0.713, 0.574)
O (0.131, 0.163, 0.612)
O (0.149, 0.613, 0.283)
O (0.163, 0.131, 0.112)
O (0.177, 0.713, 0.706)
O (0.181, 0.086, 0.848)
O (0.202, 0.347, 0.308)
O (0.248, 0.300, 0.093)
O (0.274, 0.839, 0.291)
O (0.279, 0.912, 0.424)
O (0.287, 0.520, 0.406)
O (0.291, 0.497, 0.810)
O (0.300, 0.248, 0.593)
O (0.326, 0.638, 0.020)
O (0.347, 0.202, 0.808)
O (0.396, 0.852, 0.718)
O (0.448, 0.071, 0.185)
O (0.459, 0.937, 0.053)
O (0.482, 0.715, 0.594)
O (0.497, 0.291, 0.310)
O (0.504, 0.714, 0.190)
O (0.520, 0.287, 0.906)
O (0.535, 0.064, 0.444)
O (0.551, 0.935, 0.312)
O (0.613, 0.149, 0.783)
O (0.638, 0.326, 0.520)
O (0.660, 0.798, 0.691)
O (0.701, 0.750, 0.903)
O (0.713, 0.096, 0.074)
O (0.713, 0.177, 0.206)
O (0.714, 0.504, 0.690)
O (0.715, 0.482, 0.094)
O (0.750, 0.701, 0.403)
O (0.798, 0.660, 0.191)
O (0.831, 0.907, 0.651)
O (0.834, 0.875, 0.387)
O (0.839, 0.274, 0.791)
O (0.852, 0.396, 0.218)
O (0.875, 0.834, 0.887)
O (0.907, 0.831, 0.151)
O (0.912, 0.279, 0.924)
O (0.935, 0.551, 0.812)
O (0.937, 0.459, 0.553)
O (0.967, 0.026, 0.344)
O (0.991, 0.021, 0.654)

=====

Crystalline TcAg4Ir at its relaxed geometry, computed with PBE.

Energy of formation   0.812 eV per atom
Volume   17.50 Å³/atom
SG   F-43m (216)
M_tot   3.3 μB/f.u.

Lattice parameters (Å, degrees): 5.295 5.295 5.295 60.00 60.00 60.00
Atoms (fractional coordinates):
Tc (0.000, 0.000, 0.000)
Ag (0.125, 0.625, 0.625)
Ag (0.625, 0.125, 0.625)
Ag (0.625, 0.625, 0.125)
Ag (0.625, 0.625, 0.625)
Ir (0.250, 0.250, 0.250)

=====

Crystalline FeHgPb2 at its relaxed geometry, computed with PBE.

Energy of formation   0.504 eV per atom
Volume   24.43 Å³/atom
SG   I4/mmm (139)
M_tot   3.0 μB/f.u.

Lattice parameters (Å, degrees): 5.563 5.563 5.563 130.33 130.33 72.87
Atoms (fractional coordinates):
Fe (0.000, 0.000, 0.000)
Hg (0.500, 0.500, 0.000)
Pb (0.250, 0.750, 0.500)
Pb (0.750, 0.250, 0.500)

=====

Crystalline BaTc2P2 at its relaxed geometry, computed with PBE.

Energy of formation   -0.266 eV per atom
Volume   19.18 Å³/atom
SG   I4/mmm (139)
M_tot   0.0 μB/f.u.

Lattice parameters (Å, degrees): 5.607 5.607 5.607 131.82 131.82 70.51
Atoms (fractional coordinates):
Ba (0.000, 0.000, 0.000)
Tc (0.372, 0.372, 0.000)
Tc (0.628, 0.628, 0.000)
P (0.250, 0.750, 0.500)
P (0.750, 0.250, 0.500)

=====

Crystalline Ni3HSe at its relaxed geometry, computed with PBE.

Volume   10.24 Å³/atom
SG   Pm-3m (221)
M_tot   0.0 μB/f.u.
Raw total energy   -23.87 eV/cell

Lattice parameters (Å, degrees): 3.713 3.713 3.713 90.00 90.00 90.00
Atoms (fractional coordinates):
Ni (0.000, 0.000, 0.500)
Ni (0.000, 0.500, 0.000)
Ni (0.500, 0.000, 0.000)
H (0.000, 0.000, 0.000)
Se (0.500, 0.500, 0.500)

=====

Crystalline Tl2TeAs at its relaxed geometry, computed with PBE.

Volume   28.72 Å³/atom
SG   P2/m (10)
M_tot   0.0 μB/f.u.
Raw total energy   -12.24 eV/cell

Lattice parameters (Å, degrees): 3.206 5.789 6.189 90.00 90.46 90.00
Atoms (fractional coordinates):
Tl (0.203, 0.000, 0.258)
Tl (0.797, 0.000, 0.742)
Te (0.500, 0.500, 0.000)
As (0.500, 0.500, 0.500)